Computed, not measured: RbErCuI5 after structural relaxation at the GGA-PBE level of DFT.

Properties
As for the uncorrected formation energy: -1.073 eV per atom. For the total magnetization, the calculation gives 0.000 μB per atom.

Cell: 8.3179 8.3179 11.2778 Å, 104.02 104.02 105.34°
With the nearest neighbours (Å) after each atom.
Positions (direct):
Rb 0.3582 0.6418 0.2500  5 I 3.64-3.67
Rb 0.6418 0.3582 0.7500  5 I 3.64-3.67
Er 0.0000 0.0000 0.5000  6 I 3.02-3.03
Er 0.0000 0.0000 0.0000  6 I 3.02-3.03
Cu 0.6914 0.3086 0.2500  4 I 2.62-2.68
Cu 0.3086 0.6914 0.7500  4 I 2.62-2.68
I 0.0809 0.9191 0.2500  2 Er 3.02
I 0.9191 0.0809 0.7500  2 Er 3.02
I 0.9084 0.3177 0.1152  1 Cu 2.62
I 0.0916 0.6823 0.8848  1 Cu 2.62
I 0.6823 0.0916 0.3848  1 Cu 2.62
I 0.3177 0.9084 0.6152  1 Cu 2.62
I 0.7727 0.6185 0.4325  1 Cu 2.68
I 0.2273 0.3815 0.5675  1 Cu 2.68
I 0.3815 0.2273 0.0675  1 Cu 2.68
I 0.6185 0.7727 0.9325  1 Cu 2.68

=====

Computed, not measured: ErTl2CuI6 after structural relaxation at the GGA-PBE level of DFT.

Properties
As for the uncorrected formation energy: -0.790 eV per atom. For the total magnetization, the calculation gives 0.000 μB per atom.

Cell: 8.2587 9.7225 10.3431 Å, 90.00 90.48 90.00°
With the nearest neighbours (Å) after each atom.
Positions (direct):
Er 0.5000 0.0000 0.0000  6 I 2.99-3.11
Er 0.0000 0.5000 0.5000  6 I 2.99-3.11
Tl 0.0348 0.8845 0.2441  7 I 3.52-3.80
Tl 0.5348 0.6155 0.7441  7 I 3.52-3.80
Tl 0.9652 0.1155 0.7559  7 I 3.52-3.80
Tl 0.4652 0.3845 0.2559  7 I 3.52-3.80
Cu 0.5000 0.0000 0.5000  2 I 2.47
Cu 0.0000 0.5000 0.0000  2 I 2.47
I 0.3379 0.7316 0.0537  1 Er 2.99
I 0.8379 0.7684 0.5537  1 Er 2.99
I 0.6621 0.2684 0.9463  1 Er 2.99
I 0.1621 0.2316 0.4463  1 Er 2.99
I 0.3069 0.6519 0.4467  1 Er 2.99
I 0.8069 0.8481 0.9467  1 Er 2.99
I 0.6931 0.3481 0.5533  1 Er 2.99
I 0.1931 0.1519 0.0533  1 Er 2.99
I 0.8818 0.5369 0.2158  1 Cu 2.47
I 0.3818 0.9631 0.7158  1 Cu 2.47
I 0.1182 0.4631 0.7842  1 Cu 2.47
I 0.6182 0.0369 0.2842  1 Cu 2.47

=====

| no. | total energy (eV/atom) |
| --- | --- |
| 1 | -3.245 |
| 2 | -3.059 |